Record 1
Pr2Ho3Ru2 after structural relaxation. Source: Alexandria via LeMat-Bulk, functional PBE.

POSCAR file:
```
Pr2Ho3Ru2
1.0
3.874 0.000 0.000
-1.937 6.078 -0.426
0.000 -3.349 8.244
Ru Pr Ho
2 2 3
Direct
0.824 0.649 0.766 Ru
0.176 0.351 0.234 Ru
0.163 0.327 0.800 Pr
0.837 0.673 0.200 Pr
0.623 0.246 0.425 Ho
0.377 0.754 0.575 Ho
0.500 0.000 0.000 Ho
```

Summary:
**VASP energy**: -6.26 eV per atom
**Space group**: No. 12

Record 2
PrHo2Ru after structural relaxation. Source: Alexandria via LeMat-Bulk, functional PBE.

POSCAR file:
```
PrHo2Ru
1.0
-1.817 -1.611 2.554
-2.263 -2.579 -0.805
6.552 -8.666 1.628
Ho Ru Pr
2 1 1
Direct
0.891 0.891 0.327 Ho
0.109 0.109 0.673 Ho
0.500 0.500 0.500 Ru
0.000 0.000 0.000 Pr
```

Summary:
**VASP energy**: -5.73 eV per atom
**Energy relative to the lowest polymorph listed for this composition**: 0.345 eV per atom
**Space group**: No. 166

Record 3
PrHo5Ru4 after structural relaxation. Source: Alexandria via LeMat-Bulk, functional PBE.

POSCAR file:
```
PrHo5Ru4
1.0
-0.489 -2.466 -2.291
3.320 -0.732 0.080
-3.124 -12.617 14.243
Ru Ho Pr
4 5 1
Direct
0.000 0.000 0.767 Ru
0.000 0.000 0.588 Ru
0.000 0.000 0.233 Ru
0.000 0.000 0.412 Ru
0.500 0.500 0.326 Ho
0.500 0.500 0.152 Ho
0.500 0.500 0.500 Ho
0.500 0.500 0.674 Ho
0.500 0.500 0.848 Ho
0.000 0.000 0.000 Pr
```

Summary:
**VASP energy**: -6.79 eV per atom
**Space group**: No. 123

Record 4
Pr2HoRu after structural relaxation. Source: Alexandria via LeMat-Bulk, functional PBE.

POSCAR file:
```
Pr2HoRu
1.0
3.634 0.000 0.000
1.817 3.147 0.000
1.817 1.049 10.677
Pr Ho Ru
2 1 1
Direct
0.894 0.894 0.318 Pr
0.106 0.106 0.682 Pr
0.000 0.000 0.000 Ho
0.500 0.500 0.500 Ru
```

Summary:
**VASP energy**: -5.61 eV per atom
**Energy relative to the lowest polymorph listed for this composition**: 0.453 eV per atom
**Space group**: No. 166

Record 5
Pr2HoRu after structural relaxation. Source: Alexandria via LeMat-Bulk, functional PBE.

POSCAR file:
```
Pr2HoRu
1.0
6.403 0.000 0.000
0.000 7.382 0.000
0.000 0.000 9.755
Ho Pr Ru
4 8 4
Direct
0.352 0.456 0.750 Ho
0.852 0.044 0.250 Ho
0.148 0.956 0.750 Ho
0.648 0.544 0.250 Ho
0.671 0.823 0.566 Pr
0.671 0.823 0.934 Pr
0.829 0.323 0.566 Pr
0.829 0.323 0.934 Pr
0.329 0.177 0.434 Pr
0.171 0.677 0.434 Pr
0.329 0.177 0.066 Pr
0.171 0.677 0.066 Pr
0.540 0.116 0.750 Ru
0.460 0.884 0.250 Ru
0.040 0.384 0.250 Ru
0.960 0.616 0.750 Ru
```

Summary:
**VASP energy**: -6.06 eV per atom
**Energy relative to the lowest polymorph listed for this composition**: 0.000 eV per atom
**Space group**: No. 62

Record 6
PrHoRu after structural relaxation. Source: Alexandria via LeMat-Bulk, functional PBE.

POSCAR file:
```
PrHoRu
1.0
4.361 0.000 0.000
0.000 8.595 0.000
0.000 0.000 8.595
Pr Ho Ru
4 4 4
Direct
0.000 0.443 0.783 Pr
0.500 0.217 0.443 Pr
0.000 0.557 0.217 Pr
0.500 0.783 0.557 Pr
0.000 0.831 0.876 Ho
0.500 0.876 0.169 Ho
0.000 0.169 0.124 Ho
0.500 0.124 0.831 Ho
0.000 0.087 0.628 Ru
0.000 0.913 0.372 Ru
0.500 0.372 0.087 Ru
0.500 0.628 0.913 Ru
```

Summary:
**VASP energy**: -6.39 eV per atom
**Energy relative to the lowest polymorph listed for this composition**: 0.048 eV per atom
**Space group**: No. 84

Record 7
PrHoRu after structural relaxation. Source: Alexandria via LeMat-Bulk, functional PBE.

POSCAR file:
```
PrHoRu
1.0
3.455 0.000 0.000
0.000 3.455 0.000
-1.727 -1.727 6.671
Pr Ho Ru
1 1 1
Direct
0.038 0.038 0.075 Pr
0.290 0.290 0.580 Ho
0.673 0.673 0.345 Ru
```

Summary:
**VASP energy**: -6.44 eV per atom
**Energy relative to the lowest polymorph listed for this composition**: 0.000 eV per atom
**Space group**: No. 107

Record 8
PrHo2Ru after structural relaxation. Source: Alexandria via LeMat-Bulk, functional PBE.

POSCAR file:
```
PrHo2Ru
1.0
-2.353 -1.145 -2.911
5.915 0.697 -2.420
1.838 -8.772 1.966
Ho Ru Pr
4 2 2
Direct
0.354 0.707 0.570 Ho
0.646 0.293 0.430 Ho
0.354 0.707 0.930 Ho
0.646 0.293 0.070 Ho
0.746 0.492 0.750 Ru
0.254 0.508 0.250 Ru
0.927 0.854 0.250 Pr
0.073 0.146 0.750 Pr
```

Summary:
**VASP energy**: -6.07 eV per atom
**Energy relative to the lowest polymorph listed for this composition**: 0.012 eV per atom
**Space group**: No. 63

Table of energy of formation from the pure elements (eV/atom), in record order: -0.29; 0.07; -0.31; 0.24; -0.21; -0.18; -0.23; -0.26
Table of DOS(E_F) (states/eV per atom), in record order: 0.6495; 1.3872; 0.8228; 1.6399; 0.9710; 0.6781; 0.5919; 0.8940